[1]
This record from Alexandria via LeMat-Bulk describes Rb2GaRePb after structural relaxation. The functional is PBE.

Cell lengths 7.1827, 5.3499, 7.1827 Å; angles 90.00, 90.00, 90.00 degrees
Closest atoms and distances in Å follow each position.
Fractional positions:
Rb: 0.5000 0.0000 0.0000  2 Pb 3.59
Rb: 0.0000 0.0000 0.5000  2 Pb 3.59
Ga: 0.0000 0.5000 0.0000  2 Pb 2.67
Re: 0.5000 0.5000 0.5000  8 Rb 4.48
Pb: 0.0000 0.0000 0.0000  2 Ga 2.67

The energy is -2.776 eV/atom. The energy of formation comes out at 1.45 eV/atom.

***

[2]
This record from Alexandria via LeMat-Bulk describes MnCu2Cl after structural relaxation. The functional is PBE.

Cell lengths 7.1052, 7.1052, 5.6076 Å; angles 50.69, 50.69, 90.00 degrees
Closest atoms and distances in Å follow each position.
Fractional positions:
Cu: 0.6118 0.1250 0.2500  2 Cu 2.50, 2 Cl 2.52, 2 Mn 2.65
Cu: 0.1382 0.6250 0.2500  2 Cu 2.50, 2 Cl 2.52, 2 Mn 2.65
Cu: 0.8750 0.8618 0.7500  2 Cu 2.50, 2 Cl 2.52, 2 Mn 2.65
Cu: 0.3750 0.3882 0.7500  2 Cu 2.50, 2 Cl 2.52, 2 Mn 2.65
Mn: 0.7500 0.2500 0.5000  2 Cl 2.49, 4 Cu 2.65
Mn: 0.0000 0.0000 0.0000  2 Cl 2.49, 4 Cu 2.65
Cl: 0.2500 0.7500 0.5000  2 Mn 2.49, 4 Cu 2.52
Cl: 0.5000 0.5000 0.0000  2 Mn 2.49, 4 Cu 2.52

The energy above the lowest structure with this stoichiometry is 339 meV per atom. The energy is -4.452 eV/atom. The calculation puts the formation energy without anion corrections at 351 meV/atom.

***

[3]
This record from Alexandria via LeMat-Bulk describes CaLaMg2In2 after structural relaxation. The functional is PBE.

Cell lengths 5.0880, 5.0880, 7.4606 Å; angles 90.00, 90.00, 120.00 degrees
Closest atoms and distances in Å follow each position.
Fractional positions:
La: 0.0000 0.0000 0.0000  6 In 3.43, 6 Mg 3.46, 2 Ca 3.73
Mg: 0.3333 0.6667 0.7543  3 In 2.94
Mg: 0.6667 0.3333 0.2457  3 In 2.94
In: 0.3333 0.6667 0.2362  3 Mg 2.94
In: 0.6667 0.3333 0.7638  3 Mg 2.94
Ca: 0.0000 0.0000 0.5000  6 Mg 3.50, 6 In 3.54, 2 La 3.73

The energy is -2.985 eV/atom. The energy of formation comes out at -0.39 eV/atom.

***

[4]
This record from Alexandria via LeMat-Bulk describes CsK2GaHg after structural relaxation. The functional is PBE.

Cell lengths 6.7783, 6.7783, 5.4613 Å; angles 90.00, 90.00, 90.00 degrees
Closest atoms and distances in Å follow each position.
Fractional positions:
K: 0.5000 0.0000 0.0000  2 Ga 3.39
K: 0.0000 0.5000 0.0000  2 Ga 3.39
Hg: 0.0000 0.0000 0.5000  2 Ga 2.73
Cs: 0.5000 0.5000 0.5000  8 K 4.35, 4 Hg 4.79
Ga: 0.0000 0.0000 0.0000  2 Hg 2.73

The energy above the lowest structure with this stoichiometry is 0 meV per atom. The energy is -1.278 eV/atom. The energy of formation comes out at 0.00 eV/atom.

***

[5]
This record from Alexandria via LeMat-Bulk describes EuErGa2 after structural relaxation. The functional is PBE.

Cell lengths 5.1448, 5.1448, 5.1448 Å; angles 60.00, 60.00, 60.00 degrees
Closest atoms and distances in Å follow each position.
Fractional positions:
Ga: 0.7500 0.7500 0.7500  4 Er 3.15, 4 Eu 3.15
Ga: 0.2500 0.2500 0.2500  4 Eu 3.15, 4 Er 3.15
Eu: 0.0000 0.0000 0.0000  8 Ga 3.15
Er: 0.5000 0.5000 0.5000  8 Ga 3.15

The energy above the lowest structure with this stoichiometry is 44 meV per atom. The energy is -5.709 eV/atom. The energy of formation comes out at -0.49 eV/atom.

***

[6]
This record from Alexandria via LeMat-Bulk describes Zn2GaTc2 after structural relaxation. The functional is PBE.

Cell lengths 6.4211, 6.4211, 3.8685 Å; angles 90.00, 90.00, 90.00 degrees
Closest atoms and distances in Å follow each position.
Fractional positions:
Zn: 0.3318 0.1682 0.5000  6 Tc 2.66-2.73
Zn: 0.6682 0.8318 0.5000  6 Tc 2.66-2.73
Zn: 0.8318 0.3318 0.5000  6 Tc 2.66-2.73
Zn: 0.1682 0.6682 0.5000  6 Tc 2.66-2.73
Tc: 0.1305 0.3695 0.0000  1 Tc 2.37, 2 Ga 2.52
Tc: 0.8695 0.6305 0.0000  1 Tc 2.37, 2 Ga 2.52
Tc: 0.3695 0.8695 0.0000  1 Tc 2.37, 2 Ga 2.52
Tc: 0.6305 0.1305 0.0000  1 Tc 2.37, 2 Ga 2.52
Ga: 0.5000 0.5000 0.0000  4 Tc 2.52
Ga: 0.0000 0.0000 0.0000  4 Tc 2.52

The energy is -5.155 eV/atom. The energy of formation comes out at 0.11 eV/atom.

***

[7]
This record from Alexandria via LeMat-Bulk describes Cu2ReAs2 after structural relaxation. The functional is PBE.

Cell lengths 6.4900, 6.4900, 3.5811 Å; angles 90.00, 90.00, 90.00 degrees
Closest atoms and distances in Å follow each position.
Fractional positions:
Re: 0.5000 0.5000 0.0000  4 As 2.48
Re: 0.0000 0.0000 0.0000  4 As 2.48
As: 0.1475 0.3525 0.0000  2 Re 2.48, 6 Cu 2.59-2.63, 1 As 2.71
As: 0.6475 0.1475 0.0000  2 Re 2.48, 6 Cu 2.59-2.63, 1 As 2.71
As: 0.8525 0.6475 0.0000  2 Re 2.48, 6 Cu 2.59-2.63, 1 As 2.71
As: 0.3525 0.8525 0.0000  2 Re 2.48, 6 Cu 2.59-2.63, 1 As 2.71
Cu: 0.8507 0.3507 0.5000  6 As 2.59-2.63, 1 Cu 2.74
Cu: 0.1493 0.6493 0.5000  6 As 2.59-2.63, 1 Cu 2.74
Cu: 0.6493 0.8507 0.5000  6 As 2.59-2.63, 1 Cu 2.74
Cu: 0.3507 0.1493 0.5000  6 As 2.59-2.63, 1 Cu 2.74

The energy is -5.683 eV/atom. The energy of formation comes out at 0.30 eV/atom.